[1]
# In2WCl | Alexandria | meta-GGA SCAN | single point on PBEsol structure
data_In2WCl
_cell_length_a 3.003
_cell_length_b 5.417
_cell_length_c 10.262
_cell_angle_alpha 90.00
_cell_angle_beta 90.00
_cell_angle_gamma 90.00
_space_group_name_H-M_alt 'C m m 2'
_space_group_IT_number 35
loop_
_space_group_symop_operation_xyz
'x,y,z'
'-x,-y,z'
'-x,y,z'
'x,-y,z'
'x+1/2,y+1/2,z'
'-x+1/2,-y+1/2,z'
'-x+1/2,y+1/2,z'
'x+1/2,-y+1/2,z'
loop_
_atom_site_label
_atom_site_type_symbol
_atom_site_fract_x
_atom_site_fract_y
_atom_site_fract_z
_atom_site_occupancy
In1 In 0.000 0.000 0.000 1
In2 In 0.000 0.500 0.273 1
W1 W 0.000 0.000 0.510 1
Cl1 Cl 0.000 0.500 0.694 1
# Crystal system: orthorhombic
# Energy relative to the elements, uncorrected in meV per atom: 331
# Energy above the lowest structure with this stoichiometry in eV/atom: 0.0000

---

[2]
# InW2Cl | Alexandria | meta-GGA SCAN | single point on PBEsol structure
data_InW2Cl
_cell_length_a 4.278
_cell_length_b 4.278
_cell_length_c 7.477
_cell_angle_alpha 90.00
_cell_angle_beta 90.00
_cell_angle_gamma 90.00
_space_group_name_H-M_alt 'I -4 m 2'
_space_group_IT_number 119
_space_group_name_Hall 'I -4 -2'
loop_
_atom_site_label
_atom_site_type_symbol
_atom_site_fract_x
_atom_site_fract_y
_atom_site_fract_z
_atom_site_occupancy
In1 In 0.000 0.000 0.000 1
W1 W 0.000 0.000 0.500 1
W2 W 0.000 0.500 0.250 1
Cl1 Cl 0.000 0.500 0.750 1
# Crystal system: tetragonal
# Energy relative to the elements, uncorrected in meV per atom: 1130
# Energy above the lowest structure with this stoichiometry in eV/atom: 0.0000

---

[3]
# InW2Cl | Alexandria | meta-GGA SCAN | single point on PBEsol structure
data_InW2Cl
_cell_length_a 6.407
_cell_length_b 6.407
_cell_length_c 6.407
_cell_angle_alpha 90.00
_cell_angle_beta 90.00
_cell_angle_gamma 90.00
_space_group_name_H-M_alt 'F m -3 m'
_space_group_IT_number 225
_space_group_name_Hall '-F 4 2 3'
loop_
_atom_site_label
_atom_site_type_symbol
_atom_site_fract_x
_atom_site_fract_y
_atom_site_fract_z
_atom_site_occupancy
In1 In 0.000 0.000 0.000 1
W1 W 0.250 0.250 0.250 1
Cl1 Cl 0.000 0.000 0.500 1
# Crystal system: cubic
# Energy relative to the elements, uncorrected in meV per atom: 1450
# Energy above the lowest structure with this stoichiometry in eV/atom: 0.3203

---

[4]
# InWCl | Alexandria | meta-GGA SCAN | single point on PBEsol structure
data_InWCl
_cell_length_a 2.888
_cell_length_b 2.888
_cell_length_c 14.159
_cell_angle_alpha 90.00
_cell_angle_beta 90.00
_cell_angle_gamma 90.00
_space_group_name_H-M_alt 'I 4 m m'
_space_group_IT_number 107
_space_group_name_Hall 'I 4 -2'
loop_
_atom_site_label
_atom_site_type_symbol
_atom_site_fract_x
_atom_site_fract_y
_atom_site_fract_z
_atom_site_occupancy
In1 In 0.000 0.000 0.000 1
W1 W 0.000 0.000 0.659 1
Cl1 Cl 0.000 0.000 0.267 1
# Crystal system: tetragonal
# Energy relative to the elements, uncorrected in meV per atom: 505
# Energy above the lowest structure with this stoichiometry in eV/atom: 0.0000

---

[5]
# In2WCl | Alexandria | meta-GGA SCAN | single point on PBEsol structure
data_In2WCl
_cell_length_a 2.944
_cell_length_b 5.118
_cell_length_c 5.167
_cell_angle_alpha 90.00
_cell_angle_beta 90.00
_cell_angle_gamma 90.00
_space_group_name_H-M_alt 'P m m m'
_space_group_IT_number 47
loop_
_space_group_symop_operation_xyz
'x,y,z'
'-x,-y,-z'
'-x,-y,z'
'x,y,-z'
'x,-y,-z'
'-x,y,z'
'-x,y,-z'
'x,-y,z'
loop_
_atom_site_label
_atom_site_type_symbol
_atom_site_fract_x
_atom_site_fract_y
_atom_site_fract_z
_atom_site_occupancy
In1 In 0.000 0.000 0.000 1
In2 In 0.500 0.500 0.000 1
W1 W 0.000 0.500 0.500 1
Cl1 Cl 0.500 0.000 0.500 1
# Crystal system: orthorhombic
# Energy relative to the elements, uncorrected in meV per atom: 807
# Energy above the lowest structure with this stoichiometry in eV/atom: 0.4768

---

[6]
# InWCl | Alexandria | meta-GGA SCAN | single point on PBEsol structure
data_InWCl
_cell_length_a 6.751
_cell_length_b 6.751
_cell_length_c 6.751
_cell_angle_alpha 90.00
_cell_angle_beta 90.00
_cell_angle_gamma 90.00
_space_group_name_H-M_alt 'F -4 3 m'
_space_group_IT_number 216
_space_group_name_Hall 'F -4 2 3'
loop_
_atom_site_label
_atom_site_type_symbol
_atom_site_fract_x
_atom_site_fract_y
_atom_site_fract_z
_atom_site_occupancy
In1 In 0.000 0.000 0.000 1
W1 W 0.250 0.250 0.250 1
Cl1 Cl 0.250 0.250 0.750 1
# Crystal system: cubic
# Energy relative to the elements, uncorrected in meV per atom: 1731
# Energy above the lowest structure with this stoichiometry in eV/atom: 1.2254

---

[7]
# ZnInWCl2 | Alexandria | meta-GGA SCAN | single point on PBEsol structure
data_ZnInWCl2
_cell_length_a 4.566
_cell_length_b 4.566
_cell_length_c 5.656
_cell_angle_alpha 90.00
_cell_angle_beta 90.00
_cell_angle_gamma 90.00
_space_group_name_H-M_alt 'P 4/m m m'
_space_group_IT_number 123
_space_group_name_Hall '-P 4 2'
loop_
_atom_site_label
_atom_site_type_symbol
_atom_site_fract_x
_atom_site_fract_y
_atom_site_fract_z
_atom_site_occupancy
Zn1 Zn 0.000 0.000 0.000 1
In1 In 0.500 0.500 0.000 1
W1 W 0.500 0.500 0.500 1
Cl1 Cl 0.000 0.500 0.500 1
# Crystal system: tetragonal
# Energy relative to the elements, uncorrected in meV per atom: 303

---

[8]
# Y2InCl | Alexandria | meta-GGA SCAN | single point on PBEsol structure
data_Y2InCl
_cell_length_a 3.446
_cell_length_b 4.806
_cell_length_c 12.092
_cell_angle_alpha 90.00
_cell_angle_beta 90.00
_cell_angle_gamma 90.00
_space_group_name_H-M_alt 'I m m 2'
_space_group_IT_number 44
loop_
_space_group_symop_operation_xyz
'x,y,z'
'-x,-y,z'
'-x,y,z'
'x,-y,z'
'x+1/2,y+1/2,z+1/2'
'-x+1/2,-y+1/2,z+1/2'
'-x+1/2,y+1/2,z+1/2'
'x+1/2,-y+1/2,z+1/2'
loop_
_atom_site_label
_atom_site_type_symbol
_atom_site_fract_x
_atom_site_fract_y
_atom_site_fract_z
_atom_site_occupancy
Y1 Y 0.000 0.000 0.000 1
Y2 Y 0.000 0.500 0.246 1
In1 In 0.000 0.000 0.433 1
Cl1 Cl 0.000 0.500 0.680 1
# Crystal system: orthorhombic
# Energy relative to the elements, uncorrected in meV per atom: -898

---

[9]
# Zn3InCl | Alexandria | meta-GGA SCAN | single point on PBEsol structure
data_Zn3InCl
_cell_length_a 4.881
_cell_length_b 4.881
_cell_length_c 4.881
_cell_angle_alpha 90.00
_cell_angle_beta 90.00
_cell_angle_gamma 90.00
_space_group_name_H-M_alt 'P m -3 m'
_space_group_IT_number 221
_space_group_name_Hall '-P 4 2 3'
loop_
_atom_site_label
_atom_site_type_symbol
_atom_site_fract_x
_atom_site_fract_y
_atom_site_fract_z
_atom_site_occupancy
Zn1 Zn 0.000 0.000 0.500 1
In1 In 0.500 0.500 0.500 1
Cl1 Cl 0.000 0.000 0.000 1
# Crystal system: cubic
# Energy relative to the elements, uncorrected in meV per atom: 577

---

[10]
# ZrInCl | Alexandria | meta-GGA SCAN | single point on PBEsol structure
data_ZrInCl
_cell_length_a 6.913
_cell_length_b 6.913
_cell_length_c 6.913
_cell_angle_alpha 90.00
_cell_angle_beta 90.00
_cell_angle_gamma 90.00
_space_group_name_H-M_alt 'F -4 3 m'
_space_group_IT_number 216
_space_group_name_Hall 'F -4 2 3'
loop_
_atom_site_label
_atom_site_type_symbol
_atom_site_fract_x
_atom_site_fract_y
_atom_site_fract_z
_atom_site_occupancy
Zr1 Zr 0.000 0.000 0.000 1
In1 In 0.250 0.250 0.250 1
Cl1 Cl 0.000 0.000 0.500 1
# Crystal system: cubic
# Energy relative to the elements, uncorrected in meV per atom: 464

---

[11]
# ZrIn2Cl | Alexandria | meta-GGA SCAN | single point on PBEsol structure
data_ZrIn2Cl
_cell_length_a 3.119
_cell_length_b 5.416
_cell_length_c 10.680
_cell_angle_alpha 90.00
_cell_angle_beta 90.00
_cell_angle_gamma 90.00
_space_group_name_H-M_alt 'I m m 2'
_space_group_IT_number 44
loop_
_space_group_symop_operation_xyz
'x,y,z'
'-x,-y,z'
'-x,y,z'
'x,-y,z'
'x+1/2,y+1/2,z+1/2'
'-x+1/2,-y+1/2,z+1/2'
'-x+1/2,y+1/2,z+1/2'
'x+1/2,-y+1/2,z+1/2'
loop_
_atom_site_label
_atom_site_type_symbol
_atom_site_fract_x
_atom_site_fract_y
_atom_site_fract_z
_atom_site_occupancy
Zr1 Zr 0.000 0.000 0.000 1
In1 In 0.000 0.000 0.471 1
In2 In 0.000 0.500 0.249 1
Cl1 Cl 0.000 0.500 0.687 1
# Crystal system: orthorhombic
# Energy relative to the elements, uncorrected in meV per atom: -551
# Energy above the lowest structure with this stoichiometry in eV/atom: 0.0165

---

[12]
# ZrIn2Cl | Alexandria | meta-GGA SCAN | single point on PBEsol structure
data_ZrIn2Cl
_cell_length_a 11.290
_cell_length_b 3.112
_cell_length_c 5.362
_cell_angle_alpha 90.00
_cell_angle_beta 108.67
_cell_angle_gamma 90.00
_space_group_name_H-M_alt 'C 1 m 1'
_space_group_IT_number 8
loop_
_space_group_symop_operation_xyz
'x,y,z'
'x,-y,z'
'x+1/2,y+1/2,z'
'x+1/2,-y+1/2,z'
loop_
_atom_site_label
_atom_site_type_symbol
_atom_site_fract_x
_atom_site_fract_y
_atom_site_fract_z
_atom_site_occupancy
Zr1 Zr 0.000 0.000 0.000 1
In1 In 0.044 0.500 0.511 1
In2 In 0.252 0.500 0.157 1
Cl1 Cl 0.326 0.000 0.719 1
# Crystal system: monoclinic
# Energy relative to the elements, uncorrected in meV per atom: -567
# Energy above the lowest structure with this stoichiometry in eV/atom: 0.0000

---

| no. | N(E_F) (states/eV per cell) | ρ (kg/m³) | V (Å³ per atom) |
| --- | --- | --- | --- |
| 1 | 3.886 | 8930 | 20.869 |
| 2 | 1.897 | 12573 | 17.102 |
| 3 | 14.153 | 13082 | 16.436 |
| 4 | 0.111 | 9393 | 19.689 |
| 5 | 1.925 | 9575 | 19.464 |
| 6 | 4.708 | 7212 | 25.643 |
| 7 | 2.095 | 6126 | 23.580 |
| 8 | 2.771 | 5440 | 25.035 |
| 9 | 1.852 | 4947 | 23.264 |
| 10 | 4.906 | 4855 | 27.534 |
| 11 | 4.861 | 6559 | 22.553 |
| 12 | 4.980 | 6630 | 22.312 |